## Pm2AlGaPd2 (PBE-GGA)

Data for a relaxed structure of Pm2AlGaPd2.

Lattice parameters (Å, degrees): 6.092 13.859 6.126 90.00 90.00 90.00
Space group Ibam (No. 72)
Asymmetric unit:
Pm  0.240  0.170  0.000
Al  0.000  0.500  0.250
Ga  0.000  0.000  0.250
Pd  0.241  0.391  0.000

Calculated values
Energy of formation from the pure elements: -748 meV/atom
Size of the total moment: 0.00 μB per formula unit
Calculated volume: 517 Å³/cell
Mass density: 7.7 Mg/m³